A plane-wave DFT calculation with PBE with a Hubbard U was carried out for a geometry-optimized MnTl2MoF6 structure.

extended XYZ file:
```
20
Lattice="6.090 0.000 0.000 0.000 9.548 0.000 0.000 0.000 6.092" Properties=species:S:1:pos:R:3 pbc="T T T"
Mn 1.523 2.387 1.521
Mn 4.568 7.161 4.571
Tl 1.523 0.003 4.572
Tl 1.523 4.771 4.572
Tl 4.568 9.545 1.520
Tl 4.568 4.777 1.520
Mo 1.523 7.161 1.526
Mo 4.568 2.387 4.567
F 0.004 2.387 6.092
F 0.004 2.387 3.042
F 1.523 0.287 1.517
F 1.523 4.487 1.517
F 3.041 2.387 6.092
F 3.041 2.387 3.042
F 3.049 7.161 0.000
F 3.049 7.161 3.050
F 4.568 5.061 4.575
F 4.568 9.261 4.575
F 6.086 7.161 0.000
F 6.086 7.161 3.050
```

## Properties
Total magnetic moment ... 18.0 Bohr magnetons per cell
DFT total energy ... -5.177 eV per atom